VASP calculation (GGA-PBE) on a relaxed NdDy2Ga crystal.

Unit cell a=3.5434 b=3.5434 c=8.9849 alpha=90.00 beta=90.00 gamma=90.00
With the nearest neighbours (Å) after each atom.
Fractional coordinates of all 4 atoms:
Nd (0.5000, 0.5000, 0.5000)  4 Nd 3.54, 8 Dy 3.65
Ga (0.5000, 0.5000, 0.0000)  8 Dy 3.11
Dy (0.0000, 0.0000, 0.7949)  4 Ga 3.11
Dy (0.0000, 0.0000, 0.2051)  4 Ga 3.11

Its energy above the lowest structure with this stoichiometry is 0.000 eV per atom. For the formation energy, the calculation gives -27.5 kJ per mole of atoms.